(1)
# PrSc3Tl2 PBE relaxed
data_PrSc3Tl2
_cell_length_a 17.2566
_cell_length_b 4.8411
_cell_length_c 9.0557
_cell_angle_alpha 90.00
_cell_angle_beta 119.24
_cell_angle_gamma 90.00
_symmetry_space_group_name_H-M 'C 1 2/m 1'
_symmetry_Int_Tables_number 12
_symmetry_space_group_name_Hall '-C 2y'
loop_
_atom_site_label
_atom_site_fract_x
_atom_site_fract_y
_atom_site_fract_z
Pr1 0.1381 0.0000 0.0744
Sc1 0.0459 0.0000 0.3829
Sc2 0.0957 0.5000 0.6706
Sc3 0.1930 0.5000 0.4360
Tl1 0.0114 0.5000 0.1675
Tl2 0.2053 0.0000 0.7479
# N(E_F)   28.6 states/eV/cell
# DFT formation energy   -0.157 eV per atom
# Total energy   -4.908 eV/atom


(2)
# Y4Ga3Ni PBE relaxed
data_Y4Ga3Ni
_cell_length_a 3.9191
_cell_length_b 4.2960
_cell_length_c 10.9733
_cell_angle_alpha 90.00
_cell_angle_beta 90.00
_cell_angle_gamma 90.00
_symmetry_space_group_name_H-M 'P m m 2'
_symmetry_Int_Tables_number 25
_symmetry_space_group_name_Hall 'P 2 -2'
loop_
_atom_site_label
_atom_site_fract_x
_atom_site_fract_y
_atom_site_fract_z
Y1 0.0000 0.0000 0.0000
Y2 0.0000 0.5000 0.2685
Y3 0.5000 0.0000 0.4719
Y4 0.5000 0.5000 0.7784
Ga1 0.0000 0.0000 0.7030
Ga2 0.0000 0.5000 0.5534
Ga3 0.5000 0.5000 0.0588
Ni1 0.5000 0.0000 0.1968
# N(E_F)   7.0 states/eV/cell
# DFT formation energy   -0.573 eV per atom
# Total energy   -5.663 eV/atom


(3)
# BaY2Cu PBE relaxed
data_BaY2Cu
_cell_length_a 3.6192
_cell_length_b 5.8154
_cell_length_c 12.1554
_cell_angle_alpha 90.00
_cell_angle_beta 90.00
_cell_angle_gamma 90.00
_symmetry_space_group_name_H-M 'I m m m'
_symmetry_Int_Tables_number 71
_symmetry_space_group_name_Hall '-I 2 2'
loop_
_atom_site_label
_atom_site_fract_x
_atom_site_fract_y
_atom_site_fract_z
Ba1 0.0000 0.0000 0.0000
Y1 0.0000 0.5000 0.1941
Cu1 0.0000 0.0000 0.5000
# Excess energy over the best structure of this formula in the dataset   44 meV/atom
# N(E_F)   9.4 states/eV/cell
# DFT formation energy   0.082 eV per atom
# Total energy   -4.655 eV/atom


(4)
# Ba2LiWC PBE relaxed
data_Ba2LiWC
_cell_length_a 5.7731
_cell_length_b 5.7731
_cell_length_c 4.5558
_cell_angle_alpha 90.00
_cell_angle_beta 90.00
_cell_angle_gamma 90.00
_symmetry_space_group_name_H-M 'P 4/m m m'
_symmetry_Int_Tables_number 123
_symmetry_space_group_name_Hall '-P 4 2'
loop_
_atom_site_label
_atom_site_fract_x
_atom_site_fract_y
_atom_site_fract_z
Ba1 0.0000 0.5000 0.0000
Li1 0.0000 0.0000 0.0000
W1 0.0000 0.0000 0.5000
C1 0.5000 0.5000 0.5000
# N(E_F)   7.1 states/eV/cell
# DFT formation energy   2.119 eV per atom
# Total energy   -3.469 eV/atom


> The lowest N(E_F) belongs to which entry?

Y4Ga3Ni